No. 1
A relaxed Tm3AlIn2AgAu2 crystal. Source: OQMD, functional PBE.

Properties
Its raw total energy is -4.21 eV per atom. Its space group is Amm2.

a b c (Å): 3.870 7.687 7.687
angles (deg): 120.57 90.00 90.00
Atoms (fractional coordinates):
Tm1 0.000 0.000 0.000
Tm2 0.000 0.181 0.589
Tm3 0.000 0.589 0.181
Al1 0.500 0.324 0.324
In1 0.500 0.587 0.846
In2 0.500 0.846 0.587
Ag1 0.000 0.566 0.566
Au1 0.500 0.258 0.936
Au2 0.500 0.936 0.258

=====

No. 2
A relaxed NdHoB4 crystal. Source: OQMD, functional PBE.

Properties
Its raw total energy is -6.45 eV per atom. The value obtained for the energy relative to the lowest polymorph listed for this composition is 0 meV per atom. Its space group is P6/mmm.

a b c (Å): 3.307 3.307 7.981
angles (deg): 90.00 90.00 120.00
Atoms (fractional coordinates):
Nd1 0.000 0.000 0.000
Ho1 0.000 0.000 0.500
B1 0.333 0.667 0.263
B2 0.333 0.667 0.737
B3 0.667 0.333 0.263
B4 0.667 0.333 0.737

=====

No. 3
A relaxed CsTlAu crystal. Source: OQMD, functional PBE.

Properties
Its raw total energy is -2.17 eV per atom. Its space group is F-43m.

a b c (Å): 7.923 7.923 7.923
angles (deg): 90.00 90.00 90.00
Atoms (fractional coordinates):
Cs1 0.000 0.000 0.000
Cs2 0.000 0.500 0.500
Cs3 0.500 0.000 0.500
Cs4 0.500 0.500 0.000
Tl1 0.000 0.000 0.500
Tl2 0.000 0.500 0.000
Tl3 0.500 0.000 0.000
Tl4 0.500 0.500 0.500
Au1 0.250 0.250 0.250
Au2 0.250 0.750 0.750
Au3 0.750 0.250 0.750
Au4 0.750 0.750 0.250

=====

No. 4
A relaxed BaHg2Pb crystal. Source: OQMD, functional PBE.

Properties
Its raw total energy is -1.99 eV per atom. The value obtained for the energy relative to the lowest polymorph listed for this composition is 0 meV per atom. Its space group is Immm.

a b c (Å): 9.676 9.676 9.676
angles (deg): 146.51 131.37 60.34
Atoms (fractional coordinates):
Ba1 0.000 0.000 0.000
Ba2 0.334 0.334 0.000
Ba3 0.666 0.666 0.000
Hg1 0.083 0.833 0.250
Hg2 0.250 0.500 0.750
Hg3 0.416 0.167 0.250
Hg4 0.584 0.833 0.750
Hg5 0.750 0.500 0.250
Hg6 0.917 0.167 0.750
Pb1 0.167 0.667 0.500
Pb2 0.500 0.000 0.500
Pb3 0.833 0.333 0.500

=====

No. 5
A relaxed YHoGe2Ir crystal. Source: OQMD, functional PBE.

Properties
Its raw total energy is -6.76 eV per atom. The value obtained for the energy relative to the lowest polymorph listed for this composition is 0 meV per atom. Its space group is C2/m.

a b c (Å): 5.678 5.678 10.312
angles (deg): 114.67 114.67 44.57
Atoms (fractional coordinates):
Y1 0.190 0.190 0.118
Y2 0.810 0.810 0.882
Ho1 0.008 0.008 0.330
Ho2 0.992 0.992 0.670
Ge1 0.353 0.353 0.447
Ge2 0.479 0.479 0.116
Ge3 0.521 0.521 0.884
Ge4 0.647 0.647 0.553
Ir1 0.272 0.272 0.664
Ir2 0.728 0.728 0.336

=====

No. 6
A relaxed La2HoMg3Pt3 crystal. Source: OQMD, functional PBE.

Properties
Its raw total energy is -5.07 eV per atom. Its space group is Amm2.

a b c (Å): 4.137 7.555 7.555
angles (deg): 120.41 90.00 90.00
Atoms (fractional coordinates):
La1 0.000 0.208 0.792
La2 0.000 0.792 0.208
Ho1 0.000 0.613 0.613
Mg1 0.500 0.213 0.447
Mg2 0.500 0.447 0.213
Mg3 0.500 0.963 0.963
Pt1 0.000 0.216 0.216
Pt2 0.500 0.544 0.865
Pt3 0.500 0.865 0.544

=====

No. 7
A relaxed TlAu12 crystal. Source: OQMD, functional PBE.

Properties
Its raw total energy is -3.15 eV per atom. Its space group is Fmmm.

a b c (Å): 9.548 7.307 7.293
angles (deg): 81.68 49.22 49.10
Atoms (fractional coordinates):
Tl1 0.000 0.000 0.000
Au1 0.000 0.000 0.500
Au2 0.000 0.352 0.648
Au3 0.000 0.500 0.000
Au4 0.000 0.648 0.352
Au5 0.285 0.500 0.500
Au6 0.352 0.000 0.000
Au7 0.500 0.000 0.500
Au8 0.500 0.285 0.715
Au9 0.500 0.500 0.000
Au10 0.500 0.715 0.285
Au11 0.648 0.000 0.000
Au12 0.715 0.500 0.500

=====

No. 8
A relaxed Y4CdN3 crystal. Source: OQMD, functional PBE.

Properties
Its raw total energy is -7.79 eV per atom. Its space group is P6_3/mmc.

a b c (Å): 3.482 3.482 27.169
angles (deg): 90.00 90.00 120.00
Atoms (fractional coordinates):
Y1 0.000 0.000 0.153
Y2 0.000 0.000 0.347
Y3 0.000 0.000 0.653
Y4 0.000 0.000 0.847
Y5 0.333 0.667 0.051
Y6 0.333 0.667 0.449
Y7 0.667 0.333 0.551
Y8 0.667 0.333 0.949
Cd1 0.333 0.667 0.250
Cd2 0.667 0.333 0.750
N1 0.000 0.000 0.000
N2 0.000 0.000 0.500
N3 0.333 0.667 0.607
N4 0.333 0.667 0.893
N5 0.667 0.333 0.107
N6 0.667 0.333 0.393

=====

No. 9
A relaxed Ta2AgTe2 crystal. Source: OQMD, functional PBE.

Properties
Its raw total energy is -6.08 eV per atom. The value obtained for the energy relative to the lowest polymorph listed for this composition is 205 meV per atom. Its space group is I4/mmm.

a b c (Å): 5.276 5.276 8.704
angles (deg): 90.00 90.00 90.00
Atoms (fractional coordinates):
Ta1 0.000 0.000 0.139
Ta2 0.000 0.000 0.861
Ta3 0.500 0.500 0.361
Ta4 0.500 0.500 0.639
Ag1 0.000 0.000 0.500
Ag2 0.500 0.500 0.000
Te1 0.000 0.500 0.250
Te2 0.000 0.500 0.750
Te3 0.500 0.000 0.250
Te4 0.500 0.000 0.750

=====

No. 10
A relaxed Hf2CuOs crystal. Source: OQMD, functional PBE.

Properties
Its raw total energy is -9.14 eV per atom. The energy of formation from the pure elements comes out at -9.862 kcal/mol of atoms. The value obtained for the energy relative to the lowest polymorph listed for this composition is 0 meV per atom. Its space group is Fm-3m.

a b c (Å): 6.496 6.496 6.496
angles (deg): 90.00 90.00 90.00
Atoms (fractional coordinates):
Hf1 0.250 0.250 0.250
Hf2 0.250 0.250 0.750
Hf3 0.250 0.750 0.250
Hf4 0.250 0.750 0.750
Hf5 0.750 0.250 0.250
Hf6 0.750 0.250 0.750
Hf7 0.750 0.750 0.250
Hf8 0.750 0.750 0.750
Cu1 0.000 0.000 0.000
Cu2 0.000 0.500 0.500
Cu3 0.500 0.000 0.500
Cu4 0.500 0.500 0.000
Os1 0.000 0.000 0.500
Os2 0.000 0.500 0.000
Os3 0.500 0.000 0.000
Os4 0.500 0.500 0.500

=====

No. 11
A relaxed Sm2DySb3 crystal. Source: OQMD, functional PBE.

Properties
Its raw total energy is -5.56 eV per atom. Its space group is P-3m1.

a b c (Å): 4.437 4.437 10.878
angles (deg): 90.00 90.00 120.00
Atoms (fractional coordinates):
Sm1 0.333 0.667 0.331
Sm2 0.667 0.333 0.669
Dy1 0.000 0.000 0.000
Sb1 0.000 0.000 0.500
Sb2 0.333 0.667 0.838
Sb3 0.667 0.333 0.162

=====

No. 12
A relaxed ZrPdO4 crystal. Source: OQMD, functional PBE.

Properties
Its raw total energy is -7.24 eV per atom. Its space group is C2/m.

a b c (Å): 6.833 6.833 6.919
angles (deg): 114.15 114.15 27.78
Atoms (fractional coordinates):
Zr1 0.124 0.124 0.372
Zr2 0.876 0.876 0.628
Pd1 0.356 0.356 0.148
Pd2 0.644 0.644 0.852
O1 0.095 0.095 0.652
O2 0.184 0.184 0.053
O3 0.286 0.286 0.645
O4 0.484 0.484 0.782
O5 0.516 0.516 0.218
O6 0.714 0.714 0.355
O7 0.816 0.816 0.947
O8 0.905 0.905 0.348